A plane-wave DFT calculation with GGA-PBE was carried out for a geometry-optimized PmHoBiI structure.

abc: 5.502 5.502 5.502
angles: 60.00 60.00 60.00
Last column: magnetic moment on the atom in μB.
Atoms (fractional coordinates):
I 0.250 0.250 0.250  -0.01
Pm 0.000 0.000 0.000  0.32
Bi 0.750 0.750 0.750  -0.01
Ho 0.500 0.500 0.500  0.39

For the uncorrected formation energy, the calculation gives -0.7351 eV per atom. The value obtained for the electronic total energy is -0.1626 hartree per atom. The calculation puts the magnetic moment at 1.20 μB/f.u.